LaCePd: relaxed, PBE.

Cell and atoms, written as POSCAR:
```
LaCePd
1.0
4.7174 0.0000 0.0000
-2.3587 4.0854 0.0000
0.0000 0.0000 3.9395
La Ce Pd
1 1 1
Cartesian
0.0000 0.0000 0.0000 La
0.0000 2.7236 2.5581 Ce
2.3587 1.3618 1.4229 Pd
```

ΔE_f   -1.04 eV/f.u.
Crystal system   trigonal
Distance to the lowest polymorph of the same formula   115 meV/atom
E   -17.09 eV/cell